Record 1
A plane-wave DFT calculation with PBE was carried out for Ti2SiIrPb after structural relaxation.

Cell and atoms, written as extended XYZ:
```
5
Lattice="5.083 0.000 0.000 0.000 5.083 0.000 0.000 0.000 4.941" Properties=species:S:1:pos:R:3 pbc="T T T"
Pb 0.000 0.000 0.000
Si 2.542 2.542 2.470
Ir 0.000 0.000 2.470
Ti 0.000 2.542 0.000
Ti 2.542 0.000 0.000
```

**E**: -25.7 eV/f.u.
**Formation energy from raw total energies**: 8.06 eV/f.u.
**Symmetry**: P4/mmm (123)

---

Record 2
A plane-wave DFT calculation with PBE was carried out for BaCaTc2 after structural relaxation.

Cell and atoms, written as extended XYZ:
```
4
Lattice="-2.644 -0.849 -4.180 2.347 -1.373 -4.219 -0.504 -4.679 -1.743" Properties=species:S:1:pos:R:3 pbc="T T T"
Ca -0.601 -5.176 -7.607
Ba -0.401 -3.451 -5.071
Tc 0.000 0.000 0.000
Tc -0.200 -1.725 -2.536
```

**E**: -20.4 eV/f.u.
**Energy of formation**: 1.07 eV per atom
**Symmetry**: F-43m (216)
**Relative energy among the computed polymorphs**: 808 meV/atom

---

Record 3
A plane-wave DFT calculation with PBE was carried out for SiTe2W after structural relaxation.

Cell and atoms, written as extended XYZ:
```
4
Lattice="-6.774 2.603 5.414 -8.314 2.682 2.377 -8.074 -0.253 4.089" Properties=species:S:1:pos:R:3 pbc="T T T"
Si -17.371 3.775 8.911
Te -22.929 4.982 11.762
Te -11.813 2.567 6.060
W -5.790 1.258 2.970
```

**E**: -22.5 eV/f.u.
**Formation energy from raw total energies**: 2.12 eV/f.u.
**Symmetry**: R-3m (166)

---

Record 4
A plane-wave DFT calculation with PBE was carried out for Rb3LiGa after structural relaxation.

Cell and atoms, written as extended XYZ:
```
5
Lattice="6.914 0.000 0.000 0.000 6.914 0.000 0.000 0.000 6.914" Properties=species:S:1:pos:R:3 pbc="T T T"
Ga 0.000 0.000 0.000
Rb 0.000 3.457 0.000
Rb 0.000 0.000 3.457
Rb 3.457 0.000 0.000
Li 3.457 3.457 3.457
```

**E**: -6.3 eV/f.u.
**Energy of formation**: 0.31 eV per atom
**Symmetry**: Pm-3m (221)
**Relative energy among the computed polymorphs**: 0 meV/atom

---

Record 5
A plane-wave DFT calculation with PBE was carried out for VAgSb after structural relaxation.

Cell and atoms, written as extended XYZ:
```
6
Lattice="4.124 0.000 0.000 0.000 4.124 0.000 0.000 0.000 6.833" Properties=species:S:1:pos:R:3 pbc="T T T"
Sb 0.000 2.062 4.959
Sb 2.062 0.000 1.874
Ag 0.000 2.062 2.052
Ag 2.062 0.000 4.781
V 0.000 0.000 0.000
V 2.062 2.062 0.000
```

**E**: -16.0 eV/f.u.
**Formation energy from raw total energies**: 0.11 eV/f.u.
**Symmetry**: P4/nmm (129)
**Relative energy among the computed polymorphs**: 27 meV/atom

---

Record 6
A plane-wave DFT calculation with PBE was carried out for Nd2Sm4H2Pb3 after structural relaxation.

Cell and atoms, written as extended XYZ:
```
11
Lattice="4.807 0.000 0.000 0.000 4.807 0.000 -2.403 -2.403 12.982" Properties=species:S:1:pos:R:3 pbc="T T T"
Nd 0.000 0.000 7.823
Nd 2.403 2.403 5.158
Sm 0.000 2.403 10.826
Sm 2.403 0.000 10.826
Sm 0.000 2.403 2.156
Sm 2.403 0.000 2.156
H 0.000 0.000 10.327
H 2.403 2.403 2.655
Pb 0.000 0.000 0.000
Pb 0.000 0.000 4.538
Pb 2.403 2.403 8.443
```

**E**: -51.2 eV/f.u.
**Symmetry**: I4/mmm (139)

---

Record 7
A plane-wave DFT calculation with PBE was carried out for La2GaHPb after structural relaxation.

Cell and atoms, written as extended XYZ:
```
5
Lattice="-1.801 4.673 -0.429 -4.632 -1.844 -0.633 -0.689 0.156 4.583" Properties=species:S:1:pos:R:3 pbc="T T T"
Pb -3.561 1.492 1.760
H 0.000 0.000 0.000
Ga -0.344 0.078 2.291
La -2.316 -0.922 -0.317
La -0.901 2.336 -0.215
```

**E**: -22.2 eV/f.u.
**Symmetry**: P4/mmm (123)

---

Record 8
A plane-wave DFT calculation with PBE was carried out for HoZnGa after structural relaxation.

Cell and atoms, written as extended XYZ:
```
3
Lattice="-0.210 -1.180 3.339 4.402 0.123 0.321 -2.394 3.543 1.101" Properties=species:S:1:pos:R:3 pbc="T T T"
Zn -0.035 -0.197 0.557
Ho 1.996 0.477 2.807
Ga -0.164 2.206 1.397
```

**E**: -10.5 eV/f.u.
**Energy of formation**: -0.55 eV per atom
**Symmetry**: P-6m2 (187)

---

Record 9
A plane-wave DFT calculation with PBE was carried out for MgGeH3 after structural relaxation.

Cell and atoms, written as extended XYZ:
```
5
Lattice="3.748 0.000 0.000 0.000 3.748 0.000 0.000 0.000 3.748" Properties=species:S:1:pos:R:3 pbc="T T T"
H 0.000 1.874 0.000
H 0.000 0.000 1.874
H 1.874 0.000 0.000
Ge 1.874 1.874 1.874
Mg 0.000 0.000 0.000
```

**E**: -14.3 eV/f.u.
**Symmetry**: Pm-3m (221)
**Relative energy among the computed polymorphs**: 0 meV/atom

---

Record 10
A plane-wave DFT calculation with PBE was carried out for NaHf2Pd2 after structural relaxation.

Cell and atoms, written as extended XYZ:
```
10
Lattice="-5.974 -2.094 4.763 -0.078 -7.215 -3.270 2.086 -1.008 2.173" Properties=species:S:1:pos:R:3 pbc="T T T"
Na 0.000 0.000 0.000
Na -3.026 -4.655 0.746
Hf 0.053 -5.574 -0.314
Hf -2.949 -7.961 1.460
Hf -4.019 -4.742 3.980
Hf -1.018 -2.356 2.206
Pd -2.253 -7.013 -1.089
Pd -5.222 -6.389 2.050
Pd -3.799 -2.296 2.582
Pd -0.831 -2.920 -0.557
```

**E**: -33.3 eV/f.u.
**Energy of formation**: -0.34 eV per atom
**Symmetry**: P4/mbm (127)
**Relative energy among the computed polymorphs**: 0 meV/atom

---

Record 11
A plane-wave DFT calculation with PBE was carried out for BeAl2V2 after structural relaxation.

Cell and atoms, written as extended XYZ:
```
10
Lattice="5.967 0.000 0.000 0.000 5.967 0.000 0.000 0.000 4.010" Properties=species:S:1:pos:R:3 pbc="T T T"
Be 0.000 0.000 0.000
Be 2.983 2.983 0.000
Al 0.946 3.929 2.005
Al 3.929 5.021 2.005
Al 5.021 2.037 2.005
Al 2.037 0.946 2.005
V 2.109 5.093 0.000
V 5.093 3.857 0.000
V 3.857 0.874 0.000
V 0.874 2.109 0.000
```

**E**: -28.9 eV/f.u.
**Energy of formation**: 0.11 eV per atom
**Symmetry**: P4/mbm (127)
**Relative energy among the computed polymorphs**: 0 meV/atom

---

Record 12
A plane-wave DFT calculation with PBE was carried out for Be2CdAg after structural relaxation.

Cell and atoms, written as extended XYZ:
```
8
Lattice="6.841 0.000 0.000 0.000 6.841 0.000 3.421 3.421 2.674" Properties=species:S:1:pos:R:3 pbc="T T T"
Be 4.998 1.710 0.668
Be 1.844 5.131 0.668
Be 5.131 5.265 2.005
Be 8.552 8.418 2.005
Ag 3.421 3.421 0.000
Ag 3.421 6.841 1.337
Cd 0.000 0.000 0.000
Cd 6.841 3.421 1.337
```

**E**: -8.5 eV/f.u.
**Energy of formation**: 0.68 eV per atom
**Symmetry**: I-42d (122)

---

Number 1: spin magnetization 2.22 μB per formula unit. Number 2: spin magnetization 0.00 μB per formula unit. Number 3: spin magnetization 0.00 μB per formula unit. Number 4: spin magnetization 0.00 μB per formula unit. Number 5: spin magnetization 0.38 μB per formula unit. Number 6: spin magnetization 0.00 μB per formula unit. Number 7: spin magnetization 0.00 μB per formula unit. Number 8: spin magnetization 0.00 μB per formula unit. Number 9: spin magnetization 0.00 μB per formula unit. Number 10: spin magnetization 0.00 μB per formula unit. Number 11: spin magnetization 0.00 μB per formula unit. Number 12: spin magnetization 0.00 μB per formula unit.